ScGa2HgO: optimized geometry, PBE-GGA.

a b c (Å): 5.6731 3.8635 5.6731
angles (deg): 90.00 90.00 90.00
Sites, in units of the cell vectors:
O 0.0000 0.5000 0.0000
Sc 0.0000 0.0000 0.0000
Ga 0.0000 0.0000 0.5000
Hg 0.5000 0.5000 0.5000
Ga 0.5000 0.0000 0.0000

Size of the total moment, μB per atom: 0.00
Space group: P4/mmm (123)
Formation energy without anion corrections, meV/atom: -505
Volume, Å³ per atom: 24.87



Sm4GaHgO: optimized geometry, PBE-GGA.

a b c (Å): 6.7115 6.7195 8.6195
angles (deg): 90.00 112.91 90.00
Sites, in units of the cell vectors:
Ga 0.8812 0.7500 0.7623
O 0.2568 0.7500 0.5135
Sm 0.4242 0.7500 0.8485
Sm 0.5000 0.0000 0.5000
Hg 0.3850 0.2500 0.7701
Sm 0.5000 0.5000 0.5000
Sm 0.9311 0.2500 0.8621
Sm 0.0000 0.0000 0.5000
Sm 0.0000 0.5000 0.5000
O 0.7432 0.2500 0.4865
Sm 0.5758 0.2500 0.1515
Ga 0.1188 0.2500 0.2377
Sm 0.0689 0.7500 0.1379
Hg 0.6150 0.7500 0.2299

Size of the total moment, μB per atom: 0.00
Space group: Cmcm (63)
Formation energy without anion corrections, meV/atom: -1080
Volume, Å³ per atom: 25.58



GaSnHgO4: optimized geometry, PBE-GGA.

a b c (Å): 6.5154 6.5154 6.6718
angles (deg): 77.63 77.63 52.74
Sites, in units of the cell vectors:
Ga 0.6183 0.6183 0.7310
O 0.4486 0.9032 0.8892
O 0.0968 0.5514 0.1108
Sn 0.2955 0.2955 0.8619
O 0.7140 0.7140 0.4607
O 0.4658 0.4658 0.7277
Hg 0.8931 0.8931 0.4841
O 0.9032 0.4486 0.8892
O 0.5514 0.0968 0.1108
O 0.5342 0.5342 0.2723
Hg 0.1069 0.1069 0.5159
Ga 0.3817 0.3817 0.2690
O 0.2860 0.2860 0.5393
Sn 0.7045 0.7045 0.1381

Size of the total moment, μB per atom: 0.00
Space group: C2/m (12)
Formation energy without anion corrections, meV/atom: -1236
Volume, Å³ per atom: 15.63



SrGaHgO2: optimized geometry, PBE-GGA.

a b c (Å): 4.6948 6.2202 4.6948
angles (deg): 90.00 90.00 90.00
Site moments in Bohr magnetons follow the coordinates.
Sites, in units of the cell vectors:
Sr 0.0000 0.0000 0.0000  0.00
Ga 0.5000 0.5000 0.5000  0.03
O 0.5000 0.0000 0.0000  -0.44
O 0.0000 0.0000 0.5000  -0.65
Hg 0.0000 0.5000 0.0000  0.01

Size of the total moment, μB per atom: 0.23
Space group: P4/mmm (123)
Formation energy without anion corrections, meV/atom: -370
Volume, Å³ per atom: 27.42



Sr2GaHgO5: optimized geometry, PBE-GGA.

a b c (Å): 3.3837 7.9331 10.0381
angles (deg): 90.00 90.00 102.31
Site moments in Bohr magnetons follow the coordinates.
Sites, in units of the cell vectors:
Sr 0.1186 0.2371 0.2917  0.00
O 0.7150 0.4299 0.1454  0.27
Sr 0.8814 0.7629 0.7917  0.00
Ga 0.4904 0.9808 0.4806  0.00
O 0.2833 0.5665 0.3568  0.28
O 0.9514 0.9029 0.5498  0.00
Sr 0.8827 0.7655 0.1982  0.00
O 0.7167 0.4335 0.8568  0.28
Hg 0.7835 0.5669 0.4999  0.12
O 0.5112 0.0225 0.7954  0.00
O 0.0486 0.0971 0.0498  0.00
O 0.2850 0.5701 0.6454  0.27
O 0.4888 0.9775 0.2954  0.00
Sr 0.1173 0.2345 0.6982  0.00
O 0.3888 0.7775 0.0061  0.00
Ga 0.5096 0.0192 0.9806  0.00
O 0.6112 0.2225 0.5061  0.00
Hg 0.2165 0.4330 0.9999  0.12

Size of the total moment, μB per atom: 0.08
Space group: Cmc2_1 (36)
Formation energy without anion corrections, meV/atom: -1792
Volume, Å³ per atom: 14.63



Tb4GaHgO: optimized geometry, PBE-GGA.

a b c (Å): 6.5644 6.5707 8.4789
angles (deg): 90.00 112.77 90.00
Sites, in units of the cell vectors:
Tb 0.9295 0.2500 0.8590
Tb 0.4242 0.7500 0.8484
Ga 0.8814 0.7500 0.7628
Hg 0.6147 0.7500 0.2293
Ga 0.1186 0.2500 0.2372
Tb 0.5000 0.5000 0.5000
O 0.7456 0.2500 0.4913
Tb 0.0000 0.5000 0.5000
Hg 0.3853 0.2500 0.7707
O 0.2544 0.7500 0.5087
Tb 0.5000 0.0000 0.5000
Tb 0.5758 0.2500 0.1516
Tb 0.0000 0.0000 0.5000
Tb 0.0705 0.7500 0.1410

Size of the total moment, μB per atom: 0.00
Space group: Cmcm (63)
Formation energy without anion corrections, meV/atom: -1119
Volume, Å³ per atom: 24.09



GaTc2HgO8: optimized geometry, PBE-GGA.

a b c (Å): 5.7495 5.4783 8.8415
angles (deg): 69.25 71.03 58.35
Sites, in units of the cell vectors:
O 0.8086 0.4437 0.9390
O 0.8426 0.9901 0.8323
O 0.3351 0.9901 0.8323
O 0.1674 0.2693 0.3959
O 0.1914 0.5563 0.0610
Hg 0.5000 0.5000 0.5000
Tc 0.2950 0.2072 0.2028
O 0.6649 0.0099 0.1677
O 0.8326 0.7307 0.6041
Tc 0.7050 0.7928 0.7972
O 0.1574 0.0099 0.1677
Ga 0.0000 0.0000 0.0000

Size of the total moment, μB per atom: 0.00
Space group: C2/m (12)
Formation energy without anion corrections, meV/atom: -1234
Volume, Å³ per atom: 18.19



GaHgTeO6: optimized geometry, PBE-GGA.

a b c (Å): 5.2580 5.2580 9.6392
angles (deg): 90.00 90.00 120.00
Site moments in Bohr magnetons follow the coordinates.
Sites, in units of the cell vectors:
Hg 0.0000 0.0000 0.5000  0.08
O 0.6338 0.6274 0.6395  0.10
O 0.6274 0.9936 0.3605  0.10
O 0.3726 0.3662 0.8605  0.10
O 0.3726 0.0064 0.6395  0.10
Te 0.6667 0.3333 0.7500  -0.01
O 0.9936 0.3662 0.6395  0.10
Ga 0.3333 0.6667 0.7500  0.00
Te 0.3333 0.6667 0.2500  -0.01
O 0.0064 0.6338 0.3605  0.10
O 0.0064 0.3726 0.1395  0.10
O 0.6274 0.6338 0.1395  0.10
O 0.9936 0.6274 0.8605  0.10
Hg 0.0000 0.0000 0.0000  0.08
O 0.3662 0.9936 0.1395  0.10
Ga 0.6667 0.3333 0.2500  0.00
O 0.3662 0.3726 0.3605  0.10
O 0.6338 0.0064 0.8605  0.10

Size of the total moment, μB per atom: 0.09
Space group: P-31c (163)
Formation energy without anion corrections, meV/atom: -900
Volume, Å³ per atom: 12.82



GaHg2TeO6: optimized geometry, PBE-GGA.

a b c (Å): 5.5962 5.5962 5.6846
angles (deg): 60.51 60.51 60.00
Sites, in units of the cell vectors:
O 0.9685 0.5665 0.3037
Hg 0.5656 0.5655 0.3033
O 0.0655 0.4711 0.7996
Hg 0.0667 0.0667 0.8000
O 0.4710 0.6639 0.7995
O 0.5669 0.1612 0.3034
Ga 0.8161 0.8161 0.5516
O 0.6638 0.0659 0.7993
Te 0.3162 0.3162 0.0515
O 0.1613 0.9684 0.3034

Size of the total moment, μB per atom: 0.00
Space group: R-3 (148)
Formation energy without anion corrections, meV/atom: -798
Volume, Å³ per atom: 12.68



Tl3GaHg3O8: optimized geometry, PBE-GGA.

a b c (Å): 6.8146 6.8660 6.8748
angles (deg): 118.58 90.00 119.75
Sites, in units of the cell vectors:
O 0.7896 0.5792 0.2835
O 0.7400 0.4800 0.7286
O 0.7971 0.0242 0.3023
Hg 0.5000 0.5000 0.0000
O 0.2104 0.4208 0.7165
O 0.2271 0.0242 0.3023
O 0.2029 0.9758 0.6977
O 0.2600 0.5200 0.2714
Ga 0.0000 0.0000 0.5000
O 0.7729 0.9758 0.6977
Hg 0.0000 0.5000 0.0000
Hg 0.0000 0.0000 0.0000
Tl 0.0000 0.5000 0.5000
Tl 0.5000 0.0000 0.5000
Tl 0.5000 0.5000 0.5000

Size of the total moment, μB per atom: 0.00
Space group: C2/m (12)
Formation energy without anion corrections, meV/atom: -581
Volume, Å³ per atom: 15.54



- Among the records above, which one has the highest formation energy without anion corrections?
  SrGaHgO2